<a>
## CdFePO2 (PBE with a Hubbard U)

Data for an optimized crystal structure of CdFePO2.

The structure belongs to space group P4/mmm (No. 123); the cell edges are 3.782, 3.782 and 5.146 Å and the angles 90.00°, 90.00° and 90.00°. Symmetry generates all atoms from Cd at (0.000, 0.000, 0.000), Fe at (0.500, 0.500, 0.500), P at (0.500, 0.500, 0.000) and O at (0.000, 0.500, 0.500).

The calculation puts the magnetization at 3.96 μB/f.u.


<b>
## CdFePO2 (PBE with a Hubbard U)

Data for an optimized crystal structure of CdFePO2.

The structure belongs to space group P4/mmm (No. 123); the cell edges are 3.689, 3.689 and 5.075 Å and the angles 90.00°, 90.00° and 90.00°. Symmetry generates all atoms from Cd at (0.000, 0.000, 0.000), Fe at (0.500, 0.500, 0.000), P at (0.500, 0.500, 0.500) and O at (0.000, 0.500, 0.500).

The calculation puts the magnetization at 3.34 μB/f.u.


What is the stability order? It is <a>, <b>, from most stable to least stable.